# 1
TiCu2Au4: optimized geometry, GGA-PBE.

Structure (POSCAR):
```
TiCu2Au4
1.0
-5.4777 -2.4565 0.2006
-0.9092 -5.2196 1.1835
-3.0488 -0.1789 4.4883
Au Cu Ti
4 2 1
Cartesian
-7.0020 -2.5461 2.4448
-5.1726 -6.5371 3.5278
-3.1935 -3.8380 0.6923
-3.5034 -2.7887 5.0798
-1.9790 -2.6992 2.8359
-4.7178 -3.9275 2.9362
0.0000 0.0000 0.0000
```

Symmetry: No. 139
Energy of formation from the pure elements in eV/atom: -0.006
Density in g/cm³: 13.01

# 2
TiCuAu2: optimized geometry, GGA-PBE.

Structure (POSCAR):
```
TiCuAu2
1.0
2.8409 0.0000 0.0000
0.0000 4.8038 0.0000
0.0000 0.0000 4.8038
Ti Au Cu
1 2 1
Cartesian
1.4205 2.4019 2.4019
0.0000 2.4019 0.0000
0.0000 0.0000 2.4019
1.4205 0.0000 0.0000
```

Symmetry: No. 123
Energy of formation from the pure elements in eV/atom: -0.137
Density in g/cm³: 12.80

# 3
TiCu3Au4: optimized geometry, GGA-PBE.

Structure (POSCAR):
```
TiCu3Au4
1.0
-0.1008 -4.6174 0.9306
5.5717 -0.4113 -1.4373
2.3699 1.7015 8.6996
Cu Au Ti
6 8 2
Cartesian
1.1849 0.8508 4.3498
0.5538 -1.3444 2.5316
1.7153 -1.5714 7.0986
4.5005 -1.8049 6.3855
0.0000 0.0000 0.0000
3.3403 -1.5222 1.8073
5.3346 -1.7679 3.7316
1.3212 -2.4099 0.1114
4.6999 -3.9977 1.9211
5.9636 0.4622 5.5435
4.1497 -2.6187 -0.6182
1.8771 -3.7893 2.6493
3.1408 0.6706 6.2717
2.5062 -1.5592 4.4612
2.7858 -0.2056 -0.7187
3.9708 0.6451 3.6311
```

Symmetry: No. 51
Energy of formation from the pure elements in eV/atom: -0.144
Density in g/cm³: 13.67

# 4
TiCuAu2: optimized geometry, GGA-PBE.

Structure (POSCAR):
```
TiCuAu2
1.0
4.9779 -1.6486 -2.9359
-1.4948 5.0262 2.9359
-3.5802 0.2073 4.8224
Cu Ti Au
1 1 2
Cartesian
-2.5375 2.6167 3.8791
0.0000 0.0000 0.0000
-3.7834 3.9015 5.7837
-1.2916 1.3320 1.9746
```

Symmetry: No. 71
Energy of formation from the pure elements in eV/atom: 0.229
Density in g/cm³: 11.79

# 5
Ti2ZnCu7Au2: optimized geometry, GGA-PBE.

Structure (POSCAR):
```
Ti2ZnCu7Au2
1.0
3.4025 -0.0018 0.0063
0.0024 3.4025 0.0063
1.6617 1.6597 15.1847
Cu Ti Au Zn
7 2 2 1
Cartesian
1.6787 1.6767 6.9789
3.4061 1.7027 2.0569
1.6605 3.3577 13.1404
3.3879 3.3837 8.2184
1.7024 1.7004 0.0063
1.7068 3.4040 2.0569
3.3598 1.6565 13.1404
3.3784 3.3743 11.0158
1.6882 1.6861 4.1815
1.6802 1.6782 9.6142
3.3864 3.3822 5.5831
0.0000 0.0000 0.0000
```

Symmetry: No. 12
Energy of formation from the pure elements in eV/atom: 0.022
Density in g/cm³: 9.45

# 6
TlCu2Au: optimized geometry, GGA-PBE.

Structure (POSCAR):
```
TlCu2Au
1.0
4.2723 0.0000 0.0000
0.0000 4.2709 0.0000
0.0000 0.0000 3.6488
Tl Cu Au
1 2 1
Cartesian
2.1362 0.0000 1.8244
2.1362 2.1354 0.0000
0.0000 0.0000 0.0000
0.0000 2.1354 1.8244
```

Symmetry: No. 123
Energy of formation from the pure elements in eV/atom: 0.162
Density in g/cm³: 13.18

# 7
Tl2CuAu: optimized geometry, GGA-PBE.

Structure (POSCAR):
```
Tl2CuAu
1.0
-2.4741 1.4937 1.7427
-2.1332 -0.2626 -2.8035
-2.4126 -6.8911 2.4813
Au Tl Cu
1 2 1
Cartesian
-1.3479 -3.8501 1.3863
-2.2807 -6.5144 2.3457
-3.0228 -1.4387 0.2093
-3.9873 -4.1935 1.2012
```

Symmetry: No. 25
Energy of formation from the pure elements in eV/atom: 0.083
Offset from the most stable computed form in meV per atom: 0
Density in g/cm³: 12.09

# 8
TlCu2Au: optimized geometry, GGA-PBE.

Structure (POSCAR):
```
TlCu2Au
1.0
-0.4693 7.2411 -3.0330
-3.1861 5.7624 -4.3009
-3.2691 7.0489 -1.2166
Au Tl Cu
1 1 2
Cartesian
-5.1088 14.7945 -6.3085
-3.5046 10.1489 -4.3276
-1.8103 5.2424 -2.2354
-6.8874 19.9452 -8.5048
```

Symmetry: No. 160
Energy of formation from the pure elements in eV/atom: 0.284
Density in g/cm³: 11.89